(1)
An optimized crystal structure of TaTlHg. Source: the Alexandria database, functional PBE-GGA.

Properties
Offset from the most stable computed form: 197 kJ/mol of formula units
Total energy: -10.93 eV for the cell shown
ΔH_f (0 K): 1.20 eV per atom
Magnetic moment: 1.8 μB per formula unit

```
data_TaTlHg
_cell_length_a 4.7243
_cell_length_b 4.7243
_cell_length_c 4.7243
_cell_angle_alpha 60.00
_cell_angle_beta 60.00
_cell_angle_gamma 60.00
_space_group_name_H-M_alt 'P 1'
_space_group_IT_number 1
loop_
_space_group_symop_operation_xyz
'x,y,z'
loop_
_atom_site_label
_atom_site_fract_x
_atom_site_fract_y
_atom_site_fract_z
Ta1 0.0000 0.0000 0.0000
Hg1 0.7500 0.7500 0.7500
Tl1 0.5000 0.5000 0.5000
```



(2)
An optimized crystal structure of AgPd2SBr. Source: the Alexandria database, functional PBE-GGA.

Properties
Total energy: -15.27 eV for the cell shown
Energy relative to the elements, uncorrected: 753 meV per atom
Magnetic moment: 0.0 μB per formula unit

```
data_AgPd2SBr
_cell_length_a 4.7785
_cell_length_b 5.0799
_cell_length_c 4.7785
_cell_angle_alpha 90.00
_cell_angle_beta 90.00
_cell_angle_gamma 90.00
_space_group_name_H-M_alt 'P 1'
_space_group_IT_number 1
loop_
_space_group_symop_operation_xyz
'x,y,z'
loop_
_atom_site_label
_atom_site_fract_x
_atom_site_fract_y
_atom_site_fract_z
Pd1 0.0000 0.0000 0.5000
Pd2 0.5000 0.0000 0.0000
Br1 0.0000 0.0000 0.0000
Ag1 0.0000 0.5000 0.0000
S1 0.5000 0.5000 0.5000
```



(3)
An optimized crystal structure of Zn2AsSe. Source: the Alexandria database, functional PBE-GGA.

Properties
Total energy: -11.50 eV for the cell shown
Energy relative to the elements, uncorrected: -205 meV per atom
Magnetic moment: 0.0 μB per formula unit

```
data_Zn2AsSe
_cell_length_a 4.1462
_cell_length_b 4.1462
_cell_length_c 7.4102
_cell_angle_alpha 63.24
_cell_angle_beta 63.24
_cell_angle_gamma 52.67
_space_group_name_H-M_alt 'P 1'
_space_group_IT_number 1
loop_
_space_group_symop_operation_xyz
'x,y,z'
loop_
_atom_site_label
_atom_site_fract_x
_atom_site_fract_y
_atom_site_fract_z
As1 0.5618 0.5618 0.7185
Se1 0.1148 0.1148 0.1846
Zn1 0.8840 0.8840 0.0260
Zn2 0.9394 0.9394 0.5709
```



(4)
An optimized crystal structure of LaGdGe2. Source: the Alexandria database, functional PBE-GGA.

Properties
Offset from the most stable computed form: 4 kJ/mol of formula units
Total energy: -30.94 eV for the cell shown
ΔH_f (0 K): -0.67 eV per atom
Magnetic moment: 7.1 μB per formula unit

```
data_LaGdGe2
_cell_length_a 4.7779
_cell_length_b 4.7779
_cell_length_c 6.1034
_cell_angle_alpha 66.96
_cell_angle_beta 66.96
_cell_angle_gamma 60.00
_space_group_name_H-M_alt 'P 1'
_space_group_IT_number 1
loop_
_space_group_symop_operation_xyz
'x,y,z'
loop_
_atom_site_label
_atom_site_fract_x
_atom_site_fract_y
_atom_site_fract_z
Gd1 0.5000 0.5000 0.5000
La1 0.0000 0.0000 0.0000
Ge1 0.7588 0.7588 0.7236
Ge2 0.2412 0.2412 0.2764
```



(5)
An optimized crystal structure of CsPuSeCl2. Source: the Alexandria database, functional PBE-GGA.

Properties
Total energy: -62.14 eV for the cell shown
Energy relative to the elements, uncorrected: -1742 meV per atom
Magnetic moment: 5.0 μB per formula unit

```
data_CsPuSeCl2
_cell_length_a 4.2387
_cell_length_b 9.8652
_cell_length_c 8.3610
_cell_angle_alpha 90.00
_cell_angle_beta 90.00
_cell_angle_gamma 102.41
_space_group_name_H-M_alt 'P 1'
_space_group_IT_number 1
loop_
_space_group_symop_operation_xyz
'x,y,z'
loop_
_atom_site_label
_atom_site_fract_x
_atom_site_fract_y
_atom_site_fract_z
Pu1 0.0000 0.0000 0.0000
Pu2 0.0000 0.0000 0.5000
Cl1 0.1396 0.2791 0.0193
Cl2 0.8604 0.7209 0.9807
Cl3 0.8604 0.7209 0.5193
Cl4 0.1396 0.2791 0.4807
Se1 0.5067 0.0134 0.7500
Se2 0.4933 0.9866 0.2500
Cs1 0.7104 0.4207 0.7500
Cs2 0.2896 0.5793 0.2500
```



(6)
An optimized crystal structure of YTaCd2. Source: the Alexandria database, functional PBE-GGA.

Properties
Offset from the most stable computed form: 0 kJ/mol of formula units
Total energy: -19.68 eV for the cell shown
ΔH_f (0 K): 0.12 eV per atom
Magnetic moment: 0.0 μB per formula unit

```
data_YTaCd2
_cell_length_a 3.0704
_cell_length_b 3.0704
_cell_length_c 9.4632
_cell_angle_alpha 90.00
_cell_angle_beta 90.00
_cell_angle_gamma 89.81
_space_group_name_H-M_alt 'P 1'
_space_group_IT_number 1
loop_
_space_group_symop_operation_xyz
'x,y,z'
loop_
_atom_site_label
_atom_site_fract_x
_atom_site_fract_y
_atom_site_fract_z
Ta1 0.0000 0.0000 0.4917
Cd1 0.0000 0.0000 0.0118
Cd2 0.5000 0.5000 0.2572
Y1 0.5000 0.5000 0.7392
```



(7)
An optimized crystal structure of ZrAl2Cu2. Source: the Alexandria database, functional PBE-GGA.

Properties
Offset from the most stable computed form: 9 kJ/mol of formula units
Total energy: -25.76 eV for the cell shown
ΔH_f (0 K): -0.31 eV per atom
Magnetic moment: 0.0 μB per formula unit

```
data_ZrAl2Cu2
_cell_length_a 3.9184
_cell_length_b 3.9184
_cell_length_c 5.8809
_cell_angle_alpha 70.54
_cell_angle_beta 70.54
_cell_angle_gamma 90.00
_space_group_name_H-M_alt 'P 1'
_space_group_IT_number 1
loop_
_space_group_symop_operation_xyz
'x,y,z'
loop_
_atom_site_label
_atom_site_fract_x
_atom_site_fract_y
_atom_site_fract_z
Al1 0.2500 0.7500 0.5000
Al2 0.7500 0.2500 0.5000
Cu1 0.3896 0.3896 0.2208
Cu2 0.6104 0.6104 0.7792
Zr1 0.0000 0.0000 0.0000
```



(8)
An optimized crystal structure of CeAu11. Source: the Alexandria database, functional PBE-GGA.

Properties
Total energy: -87.52 eV for the cell shown
ΔH_f (0 K): -0.15 eV per atom
Magnetic moment: 1.2 μB per formula unit

```
data_CeAu11
_cell_length_a 7.5614
_cell_length_b 8.8689
_cell_length_c 8.8689
_cell_angle_alpha 79.53
_cell_angle_beta 64.77
_cell_angle_gamma 64.77
_space_group_name_H-M_alt 'P 1'
_space_group_IT_number 1
loop_
_space_group_symop_operation_xyz
'x,y,z'
loop_
_atom_site_label
_atom_site_fract_x
_atom_site_fract_y
_atom_site_fract_z
Au1 0.8750 0.2500 0.7500
Au2 0.7454 0.5859 0.8259
Au3 0.3214 0.0859 0.6741
Au4 0.0046 0.9141 0.6741
Au5 0.8750 0.2500 0.2500
Au6 0.1572 0.4141 0.1741
Au7 0.6687 0.1741 0.5859
Au8 0.7500 0.5000 0.5000
Au9 0.3750 0.7500 0.7500
Au10 0.1572 0.1741 0.4141
Au11 0.7454 0.8259 0.5859
Au12 0.6687 0.5859 0.1741
Au13 0.0046 0.6741 0.9141
Au14 0.3214 0.6741 0.0859
Au15 0.0000 0.0000 0.0000
Au16 0.5928 0.3259 0.0859
Au17 0.4286 0.8259 0.4141
Au18 0.8750 0.7500 0.2500
Au19 0.0813 0.3259 0.9141
Au20 0.4286 0.4141 0.8259
Au21 0.5928 0.0859 0.3259
Au22 0.0813 0.9141 0.3259
Ce1 0.5000 0.0000 0.0000
Ce2 0.2500 0.5000 0.5000
```



(9)
An optimized crystal structure of Mg4HgPd. Source: the Alexandria database, functional PBE-GGA.

Properties
Offset from the most stable computed form: 0 kJ/mol of formula units
Total energy: -28.03 eV for the cell shown
ΔH_f (0 K): -0.36 eV per atom
Magnetic moment: 0.0 μB per formula unit

```
data_Mg4HgPd
_cell_length_a 5.5290
_cell_length_b 7.3400
_cell_length_c 7.3400
_cell_angle_alpha 113.87
_cell_angle_beta 101.62
_cell_angle_gamma 101.62
_space_group_name_H-M_alt 'P 1'
_space_group_IT_number 1
loop_
_space_group_symop_operation_xyz
'x,y,z'
loop_
_atom_site_label
_atom_site_fract_x
_atom_site_fract_y
_atom_site_fract_z
Mg1 0.8456 0.6303 0.7918
Mg2 0.9387 0.0704 0.7147
Mg3 0.5613 0.2853 0.9296
Mg4 0.6544 0.2082 0.3697
Mg5 0.3456 0.7918 0.6303
Mg6 0.0613 0.9296 0.2853
Mg7 0.4387 0.7147 0.0704
Mg8 0.1544 0.3697 0.2082
Pd1 0.7500 0.0022 0.9978
Pd2 0.2500 0.9978 0.0022
Hg1 0.7500 0.6237 0.3763
Hg2 0.2500 0.3763 0.6237
```



(10)
An optimized crystal structure of Sc2MnAlGa. Source: the Alexandria database, functional PBE-GGA.

Properties
Total energy: -24.48 eV for the cell shown
ΔH_f (0 K): 0.82 eV per atom
Magnetic moment: 0.4 μB per formula unit

```
data_Sc2MnAlGa
_cell_length_a 5.0024
_cell_length_b 4.4957
_cell_length_c 5.0024
_cell_angle_alpha 90.00
_cell_angle_beta 90.00
_cell_angle_gamma 90.00
_space_group_name_H-M_alt 'P 1'
_space_group_IT_number 1
loop_
_space_group_symop_operation_xyz
'x,y,z'
loop_
_atom_site_label
_atom_site_fract_x
_atom_site_fract_y
_atom_site_fract_z
Mn1 0.5000 0.5000 0.5000
Sc1 0.5000 0.0000 0.0000
Sc2 0.0000 0.0000 0.5000
Al1 0.0000 0.5000 0.0000
Ga1 0.0000 0.0000 0.0000
```



(11)
An optimized crystal structure of NaMo3As. Source: the Alexandria database, functional PBE-GGA.

Properties
Offset from the most stable computed form: 0 kJ/mol of formula units
Total energy: -31.98 eV for the cell shown
ΔH_f (0 K): 1.30 eV per atom
Magnetic moment: 0.0 μB per formula unit

```
data_NaMo3As
_cell_length_a 4.7054
_cell_length_b 4.7054
_cell_length_c 4.7054
_cell_angle_alpha 90.00
_cell_angle_beta 90.00
_cell_angle_gamma 90.00
_space_group_name_H-M_alt 'P 1'
_space_group_IT_number 1
loop_
_space_group_symop_operation_xyz
'x,y,z'
loop_
_atom_site_label
_atom_site_fract_x
_atom_site_fract_y
_atom_site_fract_z
Mo1 0.5000 0.0000 0.0000
Mo2 0.0000 0.5000 0.0000
Mo3 0.0000 0.0000 0.5000
Na1 0.5000 0.5000 0.5000
As1 0.0000 0.0000 0.0000
```



(12)
An optimized crystal structure of LaAs2AuSe. Source: the Alexandria database, functional PBE-GGA.

Properties
Offset from the most stable computed form: 0 kJ/mol of formula units
Total energy: -22.23 eV for the cell shown
Energy relative to the elements, uncorrected: -249 meV per atom
Magnetic moment: 0.0 μB per formula unit

```
data_LaAs2AuSe
_cell_length_a 4.9972
_cell_length_b 4.9972
_cell_length_c 5.2021
_cell_angle_alpha 90.00
_cell_angle_beta 90.00
_cell_angle_gamma 90.00
_space_group_name_H-M_alt 'P 1'
_space_group_IT_number 1
loop_
_space_group_symop_operation_xyz
'x,y,z'
loop_
_atom_site_label
_atom_site_fract_x
_atom_site_fract_y
_atom_site_fract_z
Se1 0.0000 0.0000 0.5000
As1 0.0000 0.5000 0.0000
As2 0.5000 0.0000 0.0000
Au1 0.0000 0.0000 0.0000
La1 0.5000 0.5000 0.5000
```



- Among the records above, which one has the highest magnetic moment?
  LaGdGe2



- The highest magnetic moment belongs to which entry?
  LaGdGe2



- Among the records above, which one has the highest total energy?
  TaTlHg



- Which value of magnetic moment does entry 11 give?
  0.0 μB per formula unit